Compound: Na2WO2F4
Source: Alexandria
Functional: PBE with a Hubbard U
Structure: optimized geometry

Cell lengths 4.9197, 6.2270, 6.2270 Å; angles 51.58, 72.95, 72.95 degrees
Last column: nearest neighbours and their distance in Å.
Fractional positions:
Na1 0.0090 0.6396 0.6396  1 O 2.24, 2 F 2.38
Na2 0.9910 0.3604 0.3604  1 O 2.24, 2 F 2.38
W1 0.5000 0.0000 0.0000  2 O 1.84, 4 F 1.96
O1 0.2050 0.1510 0.1510  1 W 1.84
O2 0.7950 0.8490 0.8490  1 W 1.84
F1 0.3021 0.6788 0.1972  1 W 1.96
F2 0.6979 0.8028 0.3212  1 W 1.96
F3 0.6979 0.3212 0.8028  1 W 1.96
F4 0.3021 0.1972 0.6788  1 W 1.96

Calculated values
- Symmetry: C2/m (12)
- Total magnetization: 0.1 μB per cell
- N(E_F): 0.00 states/eV/f.u.
- Relative energy among the computed polymorphs: 0.158 eV per atom